Entry i
LiCa8Zn2: optimized geometry, GGA-PBE.

Values from the calculation:
Magnetization (μB/cell): 0.00
Calculated volume (Å³/cell): 371.4
Space group: No. 12

```
11
Lattice="-2.071 -1.766 -4.458 7.195 -1.446 -2.770 -2.141 -6.914 6.794" Properties=species:S:1:pos:R:3 pbc="T T T"
Li -1.035 -0.883 -2.229
Ca 1.191 -7.022 2.229
Ca 4.782 -5.032 -3.288
Ca 1.985 -6.604 -1.365
Ca -2.370 -8.475 1.398
Ca 0.998 -3.522 0.932
Ca -1.799 -5.094 2.854
Ca 1.792 -3.105 -2.662
Ca 5.353 -1.651 -1.832
Zn -0.882 -6.230 -0.182
Zn 3.865 -3.897 -0.252
```


Entry ii
LiCa8Zn2: optimized geometry, GGA-PBE.

Values from the calculation:
Magnetization (μB/cell): 0.00
Calculated volume (Å³/cell): 385.2
Space group: No. 12

```
11
Lattice="-3.272 2.012 -1.664 -4.241 -9.160 -2.737 -1.543 0.754 9.212" Properties=species:S:1:pos:R:3 pbc="T T T"
Li -1.636 1.006 -0.832
Ca -6.613 -6.779 -0.458
Ca -4.217 -3.256 4.355
Ca -1.777 -1.318 1.902
Ca -5.948 -0.210 6.178
Ca -7.278 -5.076 2.909
Ca -4.839 -3.138 0.455
Ca -2.442 0.385 5.269
Ca -3.108 -6.184 -1.368
Zn -4.553 -5.995 1.703
Zn -4.503 -0.398 3.108
```


Which of them is the most stable? Correct choice: entry i.